(1)
Here is a geometry-optimized CaTa2 structure from Alexandria. Energies are from GGA-PBE.

Output
The density comes out at 9.397 g cm⁻³. For the total energy, the calculation gives -48.2 eV for the cell shown. As for the crystal system: orthorhombic. The formation energy is 0.542 eV per atom.

Cell lengths 8.542, 8.542, 4.845 Å; angles 90.00, 90.00, 156.30 degrees
Atoms (fractional coordinates):
Ca 0.068 0.932 0.750
Ca 0.932 0.068 0.250
Ta 0.264 0.736 0.250
Ta 0.359 0.641 0.750
Ta 0.641 0.359 0.250
Ta 0.736 0.264 0.750

(2)
Here is a geometry-optimized MnVCr2 structure from Alexandria. Energies are from GGA-PBE.

Output
The density comes out at 7.303 g cm⁻³. For the total energy, the calculation gives -37.8 eV for the cell shown. As for the crystal system: cubic. The formation energy is -0.058 eV per atom.

Cell lengths 4.071, 4.071, 4.071 Å; angles 60.00, 60.00, 60.00 degrees
Atoms (fractional coordinates):
Mn 0.000 0.000 0.000
V 0.500 0.500 0.500
Cr 0.250 0.250 0.250
Cr 0.750 0.750 0.750

(3)
Here is a geometry-optimized PRhBr2 structure from Alexandria. Energies are from GGA-PBE.

Output
For the formation energy (no corrections), the calculation gives 43 kJ/mol of formula units. The density comes out at 4.275 g cm⁻³. For the total energy, the calculation gives -15.7 eV for the cell shown. As for the crystal system: monoclinic.

Cell lengths 4.579, 3.607, 7.274 Å; angles 90.00, 108.28, 90.00 degrees
Atoms (fractional coordinates):
P 0.000 0.000 0.000
Rh 0.500 0.000 0.000
Br 0.369 0.500 0.736
Br 0.631 0.500 0.264

(4)
Here is a geometry-optimized Rb2PuAsSe4 structure from Alexandria. Energies are from GGA-PBE.

Output
For the formation energy (no corrections), the calculation gives -699 kJ/mol of formula units. The density comes out at 5.506 g cm⁻³. For the total energy, the calculation gives -84.2 eV for the cell shown. As for the crystal system: orthorhombic.

Cell lengths 8.825, 8.825, 8.825 Å; angles 120.40, 119.60, 90.00 degrees
Atoms (fractional coordinates):
Rb 0.000 0.000 0.000
Rb 0.500 0.000 0.000
Rb 0.500 0.000 0.500
Rb 0.500 0.500 0.500
Pu 0.000 0.500 0.500
Pu 0.500 0.500 0.000
As 0.000 0.000 0.500
As 0.000 0.500 0.000
Se 0.188 0.734 0.454
Se 0.219 0.266 0.954
Se 0.225 0.259 0.534
Se 0.225 0.691 0.966
Se 0.775 0.309 0.034
Se 0.775 0.741 0.466
Se 0.781 0.734 0.046
Se 0.812 0.266 0.546

(5)
Here is a geometry-optimized AlCoPdPt2 structure from Alexandria. Energies are from GGA-PBE.

Output
The density comes out at 9.165 g cm⁻³. For the total energy, the calculation gives -22.4 eV for the cell shown. As for the crystal system: tetragonal. The formation energy is 1.137 eV per atom.

Cell lengths 4.908, 4.908, 4.381 Å; angles 90.00, 90.00, 90.00 degrees
Atoms (fractional coordinates):
Al 0.000 0.000 0.000
Co 0.500 0.500 0.000
Pd 0.500 0.500 0.500
Pt 0.000 0.500 0.500
Pt 0.500 0.000 0.500

Q: What is the formula in the fourth record?
A: Rb2PuAsSe4